[1]
Computed, not measured: TaTlNi at its PBEsol-relaxed geometry at the SCAN level of DFT.

POSCAR file:
```
TaTlNi
1.0
3.022 0.000 0.000
0.000 3.022 0.000
0.000 0.000 10.968
Ta Tl Ni
2 2 2
Direct
0.000 0.000 0.000
0.500 0.500 0.500
0.000 0.000 0.295
0.500 0.500 0.795
0.000 0.000 0.627
0.500 0.500 0.127
```

Computed properties:
- calculated volume (Å³ per cell) = 100.1
- density of states at the Fermi level (states/eV/cell) = 3.88
- ΔE_f (eV per formula unit) = 0.7
- symmetry = I4mm (107)

=====

[2]
Computed, not measured: Ta2TlNi at its PBEsol-relaxed geometry at the SCAN level of DFT.

POSCAR file:
```
Ta2TlNi
1.0
3.096 0.000 0.000
-1.548 2.682 0.000
0.000 0.000 25.609
Ta Tl Ni
6 3 3
Direct
0.000 0.000 0.000
0.000 0.000 0.247
0.333 0.667 0.667
0.333 0.667 0.914
0.667 0.333 0.333
0.667 0.333 0.580
0.000 0.000 0.483
0.333 0.667 0.150
0.667 0.333 0.817
0.000 0.000 0.735
0.333 0.667 0.402
0.667 0.333 0.069
```

Computed properties:
- energy relative to the lowest polymorph listed for this composition (eV per atom) = 0.114
- calculated volume (Å³ per cell) = 212.6
- density of states at the Fermi level (states/eV/cell) = 9.52
- ΔE_f (eV per formula unit) = 1.4
- symmetry = R3m (160)

=====

[3]
Computed, not measured: TaTlNi6 at its PBEsol-relaxed geometry at the SCAN level of DFT.

POSCAR file:
```
TaTlNi6
1.0
3.662 -5.193 0.000
3.662 5.193 0.000
0.000 0.000 10.403
Ta Tl Ni
4 4 24
Direct
0.000 0.000 0.250
0.000 0.000 0.750
0.247 0.753 0.000
0.753 0.247 0.000
0.253 0.747 0.500
0.500 0.500 0.250
0.500 0.500 0.750
0.747 0.253 0.500
0.000 0.000 0.000
0.000 0.000 0.500
0.118 0.372 0.120
0.118 0.372 0.880
0.119 0.364 0.370
0.119 0.364 0.630
0.245 0.755 0.242
0.245 0.755 0.758
0.364 0.119 0.370
0.364 0.119 0.630
0.372 0.118 0.120
0.372 0.118 0.880
0.500 0.500 0.000
0.500 0.500 0.500
0.628 0.882 0.120
0.628 0.882 0.880
0.636 0.881 0.370
0.636 0.881 0.630
0.755 0.245 0.242
0.755 0.245 0.758
0.881 0.636 0.370
0.881 0.636 0.630
0.882 0.628 0.120
0.882 0.628 0.880
```

Computed properties:
- calculated volume (Å³ per cell) = 395.7
- density of states at the Fermi level (states/eV/cell) = 6.46
- ΔE_f (eV per formula unit) = -0.4
- symmetry = Cmmm (65)

=====

- Among the records above, which one has the lowest ΔE_f?
  TaTlNi6